# BeFe6W

A PBEsol-optimized structure of BeFe6W (meta-GGA SCAN, Alexandria).

Properties
- D(E_F): 21.01 states/eV per cell
- Uncorrected energy: -22.8062 eV per atom
- Volume: 348 Å³ per cell

a = 6.2295 Å, b = 6.2295 Å, c = 10.8739 Å
α = 90.00°, β = 90.00°, γ = 124.41°
Fractional coordinates of all 32 atoms:
Be 0.0000 0.0000 0.2372
Be 0.0000 0.0000 0.7628
Be 0.2553 0.7447 0.0000
Be 0.7447 0.2553 0.0000
Fe 0.0000 0.0000 0.0000
Fe 0.0000 0.0000 0.5000
Fe 0.1117 0.3717 0.1171
Fe 0.1117 0.3717 0.8829
Fe 0.1167 0.3611 0.3685
Fe 0.1167 0.3611 0.6315
Fe 0.2494 0.7506 0.2414
Fe 0.2494 0.7506 0.7586
Fe 0.3611 0.1167 0.3685
Fe 0.3611 0.1167 0.6315
Fe 0.3717 0.1117 0.1171
Fe 0.3717 0.1117 0.8829
Fe 0.5000 0.5000 0.0000
Fe 0.5000 0.5000 0.5000
Fe 0.6283 0.8883 0.1171
Fe 0.6283 0.8883 0.8829
Fe 0.6389 0.8833 0.3685
Fe 0.6389 0.8833 0.6315
Fe 0.7506 0.2494 0.2414
Fe 0.7506 0.2494 0.7586
Fe 0.8833 0.6389 0.3685
Fe 0.8833 0.6389 0.6315
Fe 0.8883 0.6283 0.1171
Fe 0.8883 0.6283 0.8829
W 0.2570 0.7430 0.5000
W 0.5000 0.5000 0.2408
W 0.5000 0.5000 0.7592
W 0.7430 0.2570 0.5000